# 1
The following is a PBE calculation of a relaxed structure of Ba6S5, from the Alexandria database.

Cell: 7.8944 7.8925 7.8957 Å, 80.38 70.48 59.99°
With the nearest neighbours (Å) after each atom.
Sites, in units of the cell vectors:
Ba1 0.0849 0.3439 0.7458  5 S 3.14-3.24
Ba2 0.7419 0.0000 0.7427  5 S 3.12-3.22
S1 0.6666 0.6668 0.0000  6 Ba 3.21-3.22
S2 0.8340 0.3321 0.5000  6 Ba 3.14-3.24
S3 0.3334 0.3332 0.0000  6 Ba 3.21-3.22
S4 0.1660 0.6679 0.5000  6 Ba 3.14-3.24
Ba3 0.9151 0.6561 0.2542  5 S 3.14-3.24
Ba4 0.4288 0.6561 0.7458  5 S 3.14-3.24
S5 0.5000 0.0000 0.5000  6 Ba 3.12-3.24
Ba5 0.2581 0.0000 0.2573  5 S 3.12-3.22
Ba6 0.5712 0.3439 0.2542  5 S 3.14-3.24

Computed properties:
VASP energy ... -0.176 hartree per atom
ΔE_f (raw) ... -1.86 eV per atom
Size of the total moment ... 0.9 μB/cell
Theoretical density ... 4.07 g/cm³
SG ... No. 12

# 2
The following is a PBE calculation of a relaxed structure of Ac5Tl4Ni, from the Alexandria database.

Cell: 6.2037 8.2265 8.2265 Å, 81.83 67.85 67.85°
With the nearest neighbours (Å) after each atom.
Sites, in units of the cell vectors:
Tl1 0.8568 0.6977 0.5908  1 Tl 3.32, 5 Ac 3.44-3.70
Tl2 0.1453 0.3023 0.4092  1 Tl 3.32, 5 Ac 3.44-3.70
Tl3 0.4476 0.4092 0.6977  1 Tl 3.32, 5 Ac 3.44-3.70
Ac1 0.8753 0.3604 0.8912  1 Ni 2.87
Ac2 0.5010 0.0000 0.0000  2 Ni 3.10
Ac3 0.1268 0.6396 0.1088  1 Ni 2.87
Ni1 0.0010 0.0000 0.0000  6 Ac 2.87-3.10
Ac4 0.2356 0.8912 0.6396  1 Ni 2.87
Tl4 0.5545 0.5908 0.3023  1 Tl 3.32, 5 Ac 3.44-3.70
Ac5 0.7664 0.1088 0.3604  1 Ni 2.87

Computed properties:
Energy of formation from the pure elements ... -0.18 eV/atom
VASP energy ... -0.138 hartree per atom
Size of the total moment ... 0.0 μB/cell
Theoretical density ... 9.27 g/cm³
SG ... No. 87